No. 1
{"formula": "Ag4MoIr", "functional": "PBE", "state": "relaxed", "cell": [[-2.7803, 0.2992, 4.4655], [-5.1631, 1.0353, -0.1757], [-3.4845, -3.7682, 1.1913]], "species": ["Ag", "Ag", "Ag", "Ag", "Mo", "Ir"], "fractional_positions": [[0.3751, 0.3751, 0.8747], [0.8747, 0.3751, 0.3751], [0.3751, 0.3751, 0.3751], [0.3751, 0.8747, 0.3751], [0.0000, 0.0000, 0.0000], [0.7500, 0.7500, 0.7500]], "e_tot_ev_per_atom": -4.398, "sg": "F-43m"}


No. 2
{"formula": "AgMo2Ir", "functional": "PBE", "state": "relaxed", "cell": [[-4.8521, -1.8325, 3.3192], [3.3703, -3.3162, -1.4789], [0.4928, -0.6731, 2.6230]], "species": ["Ir", "Ag", "Mo", "Mo"], "fractional_positions": [[0.5000, 0.5000, 0.0000], [0.0000, 0.5000, 0.5000], [0.5000, 0.0000, 0.5000], [0.0000, 0.0000, 0.0000]], "de_polymorph_ev_per_atom": 0.065, "sg": "Cmmm"}


No. 3
{"formula": "Ag2MoIr", "functional": "PBE", "state": "relaxed", "cell": [[5.1191, -0.0041, -0.0003], [4.3388, 2.7166, -0.0003], [0.7300, 0.2094, 4.6542]], "species": ["Ir", "Ag", "Ag", "Mo"], "fractional_positions": [[0.2500, 0.2500, 0.2500], [0.5006, 0.5006, 0.5004], [0.9994, 0.9994, 0.9996], [0.7500, 0.7500, 0.7500]], "de_polymorph_ev_per_atom": 0.241, "sg": "C2/m"}


No. 4
{"formula": "Ag2MoIr", "functional": "PBE", "state": "relaxed", "cell": [[0.0000, 3.1866, 3.1866], [3.1866, 0.0000, 3.1866], [3.1866, 3.1866, 0.0000]], "species": ["Ir", "Ag", "Ag", "Mo"], "fractional_positions": [[0.5000, 0.5000, 0.5000], [0.2500, 0.2500, 0.2500], [0.7500, 0.7500, 0.7500], [0.0000, 0.0000, 0.0000]], "de_polymorph_ev_per_atom": 0.625, "sg": "Fm-3m"}


No. 5
{"formula": "AgMo2Ir", "functional": "PBE", "state": "relaxed", "cell": [[-2.2511, -6.7841, -1.5624], [6.4868, -1.4480, -3.0588], [3.0357, -4.9610, 0.0359]], "species": ["Ir", "Ir", "Mo", "Mo", "Mo", "Mo", "Ag", "Ag"], "fractional_positions": [[0.7500, 0.2500, 0.5000], [0.0000, 0.0000, 0.0000], [0.8750, 0.9144, 0.7500], [0.6644, 0.1250, 0.2500], [0.0856, 0.6250, 0.2500], [0.3750, 0.3356, 0.7500], [0.5000, 0.5000, 0.0000], [0.2500, 0.7500, 0.5000]], "de_polymorph_ev_per_atom": 0.560, "sg": "I-42d"}


No. 6
{"formula": "AgMo2Ir", "functional": "PBE", "state": "relaxed", "cell": [[-7.9669, 4.5963, 2.8436], [-9.1637, 2.7161, 1.1541], [-8.5998, 2.0498, 3.8111]], "species": ["Mo", "Mo", "Ag", "Ir"], "fractional_positions": [[0.0044, 0.0044, 0.0044], [0.2521, 0.2521, 0.2521], [0.4985, 0.4985, 0.4985], [0.7450, 0.7450, 0.7450]], "de_polymorph_ev_per_atom": 0.062, "sg": "R3m"}


No. 7
{"formula": "AgMo2Ir", "functional": "PBE", "state": "relaxed", "cell": [[3.9092, 0.0000, 0.0000], [0.0000, 3.9101, 0.0000], [0.0000, 0.0000, 4.0945]], "species": ["Mo", "Mo", "Ag", "Ir"], "fractional_positions": [[0.0000, 0.0000, 0.0000], [0.5000, 0.5000, 0.0000], [0.5000, 0.0000, 0.5000], [0.0000, 0.5000, 0.5000]], "de_polymorph_ev_per_atom": 0.141, "sg": "P4/mmm"}


No. 8
{"formula": "Ag2MoIr", "functional": "PBE", "state": "relaxed", "cell": [[4.6666, 0.0000, 0.0000], [0.0000, 3.7628, 0.0000], [0.0000, 0.0000, 3.7628]], "species": ["Ag", "Ag", "Mo", "Ir"], "fractional_positions": [[0.0000, 0.5000, 0.5000], [0.0000, 0.0000, 0.0000], [0.5000, 0.0000, 0.5000], [0.5000, 0.5000, 0.0000]], "de_polymorph_ev_per_atom": 0.391, "sg": "P4/mmm"}


No. 9
{"formula": "AgMo2Ir", "functional": "PBE", "state": "relaxed", "cell": [[4.4783, 0.0000, 0.0000], [2.2392, 3.8784, 0.0000], [2.2392, 1.2928, 3.6565]], "species": ["Mo", "Mo", "Ir", "Ag"], "fractional_positions": [[0.0000, 0.0000, 0.0000], [0.2500, 0.2500, 0.2500], [0.7500, 0.7500, 0.7500], [0.5000, 0.5000, 0.5000]], "de_polymorph_ev_per_atom": 0.255, "sg": "F-43m"}


No. 10
{"formula": "Ag3MoIr", "functional": "PBE", "state": "relaxed", "cell": [[5.0093, 0.0000, 0.0000], [0.0000, 5.0093, 0.0000], [0.0000, 0.0000, 5.0093]], "species": ["Ag", "Ag", "Ag", "Ir", "Mo"], "fractional_positions": [[0.0000, 0.0000, 0.5000], [0.0000, 0.5000, 0.0000], [0.5000, 0.0000, 0.0000], [0.0000, 0.0000, 0.0000], [0.5000, 0.5000, 0.5000]], "de_polymorph_ev_per_atom": 0.000, "sg": "Pm-3m"}


No. 11
{"formula": "Ag2MoIr", "functional": "PBE", "state": "relaxed", "cell": [[-0.4429, 1.2491, 4.6779], [3.4446, -3.2199, 1.1859], [1.9501, 1.9613, -0.3391]], "species": ["Ag", "Ag", "Ir", "Mo"], "fractional_positions": [[0.5000, 0.5000, 0.0000], [0.0000, 0.0000, 0.0000], [0.5000, 0.0000, 0.5000], [0.0000, 0.5000, 0.5000]], "de_polymorph_ev_per_atom": 0.706, "sg": "P4/mmm"}


No. 12
{"formula": "AgMo2Ir", "functional": "PBE", "state": "relaxed", "cell": [[4.8482, 0.0048, 0.0000], [1.5430, 4.5961, 0.0000], [-3.1956, -2.3004, 2.8287]], "species": ["Mo", "Mo", "Ag", "Ir"], "fractional_positions": [[0.2500, 0.7500, 0.5000], [0.0000, 0.0000, 0.0000], [0.5000, 0.5000, 0.0000], [0.7500, 0.2500, 0.5000]], "de_polymorph_ev_per_atom": 0.185, "sg": "I-4m2"}


No. 13
{"formula": "AgMo2Ir", "functional": "PBE", "state": "relaxed", "cell": [[-3.3254, -2.5768, 1.5824], [-4.2425, 1.4790, -0.1239], [-2.9466, -1.8605, -2.8387]], "species": ["Ag", "Mo", "Mo", "Ir"], "fractional_positions": [[0.0000, 0.0000, 0.0000], [0.2500, 0.2500, 0.2500], [0.7500, 0.7500, 0.7500], [0.5000, 0.5000, 0.5000]], "de_polymorph_ev_per_atom": 0.447, "sg": "Fm-3m"}


No. 14
{"formula": "AgMo4Ir", "functional": "PBE", "state": "relaxed", "cell": [[0.0000, 3.6677, 3.6677], [3.6677, 0.0000, 3.6677], [3.6677, 3.6677, 0.0000]], "species": ["Mo", "Mo", "Mo", "Mo", "Ag", "Ir"], "fractional_positions": [[0.3761, 0.8716, 0.3761], [0.3761, 0.3761, 0.8716], [0.8716, 0.3761, 0.3761], [0.3761, 0.3761, 0.3761], [0.7500, 0.7500, 0.7500], [0.0000, 0.0000, 0.0000]], "e_tot_ev_per_atom": -8.767, "sg": "F-43m"}


No. 15
{"formula": "AgMo2Ir2", "functional": "PBE", "state": "relaxed", "cell": [[7.7518, 0.0000, 0.0000], [0.0000, 7.7518, 0.0000], [0.0000, 0.0000, 2.7613]], "species": ["Ag", "Ag", "Mo", "Mo", "Mo", "Mo", "Ir", "Ir", "Ir", "Ir"], "fractional_positions": [[0.5000, 0.5000, 0.0000], [0.0000, 0.0000, 0.0000], [0.3793, 0.8793, 0.0000], [0.8793, 0.6207, 0.0000], [0.1207, 0.3793, 0.0000], [0.6207, 0.1207, 0.0000], [0.1678, 0.6678, 0.5000], [0.3322, 0.1678, 0.5000], [0.6678, 0.8322, 0.5000], [0.8322, 0.3322, 0.5000]], "de_polymorph_ev_per_atom": 0.083, "sg": "P4/mbm"}


No. 16
{"formula": "AgMo2Ir2", "functional": "PBE", "state": "relaxed", "cell": [[-6.5698, -3.5482, -1.8041], [3.7354, -4.2928, -5.1601], [0.4976, -1.9141, 1.9525]], "species": ["Ag", "Ag", "Ir", "Ir", "Ir", "Ir", "Mo", "Mo", "Mo", "Mo"], "fractional_positions": [[0.5000, 0.5000, 0.0000], [0.0000, 0.0000, 0.0000], [0.8738, 0.6262, 0.0000], [0.3738, 0.8738, 0.0000], [0.1262, 0.3738, 0.0000], [0.6262, 0.1262, 0.0000], [0.1667, 0.6667, 0.5000], [0.3333, 0.1667, 0.5000], [0.8333, 0.3333, 0.5000], [0.6667, 0.8333, 0.5000]], "de_polymorph_ev_per_atom": 0.000, "sg": "P4/mbm"}


No. 17
{"formula": "AgMo2Ir", "functional": "PBE", "state": "relaxed", "cell": [[2.7617, 0.0560, 0.0000], [-0.0566, 2.7617, 0.0000], [0.0000, 0.0000, 8.4234]], "species": ["Ir", "Ag", "Mo", "Mo"], "fractional_positions": [[0.5000, 0.5000, 0.7695], [0.0000, 0.0000, 0.5054], [0.5000, 0.5000, 0.2427], [0.0000, 0.0000, 0.9824]], "de_polymorph_ev_per_atom": 0.033, "sg": "P4mm"}


No. 18
{"formula": "Ag2MoIr", "functional": "PBE", "state": "relaxed", "cell": [[-2.2688, -8.8944, 3.5505], [0.1145, -9.5711, 2.2901], [0.1507, -8.5486, 4.8747]], "species": ["Mo", "Ag", "Ag", "Ir"], "fractional_positions": [[0.7500, 0.7500, 0.7500], [0.5003, 0.5003, 0.5003], [0.9997, 0.9997, 0.9997], [0.2500, 0.2500, 0.2500]], "de_polymorph_ev_per_atom": 0.334, "sg": "R-3m"}


No. 19
{"formula": "Ag2MoIr", "functional": "PBE", "state": "relaxed", "cell": [[-3.3020, -1.8050, -3.6403], [1.8511, -3.2254, 3.6855], [-2.1408, 0.6321, 1.6285]], "species": ["Ag", "Ag", "Ir", "Mo"], "fractional_positions": [[0.5000, 0.5000, 0.0000], [0.0000, 0.0000, 0.0000], [0.5000, 0.0000, 0.5000], [0.0000, 0.5000, 0.5000]], "de_polymorph_ev_per_atom": 0.414, "sg": "Cmmm"}


No. 20
{"formula": "AgMo2Ir", "functional": "PBE", "state": "relaxed", "cell": [[5.0051, -0.0002, 0.0000], [2.0197, 4.5795, 0.0000], [-3.5124, -2.2896, 2.7334]], "species": ["Ag", "Mo", "Mo", "Ir"], "fractional_positions": [[0.2500, 0.7500, 0.5000], [0.0000, 0.0000, 0.0000], [0.5000, 0.5000, 0.0000], [0.7500, 0.2500, 0.5000]], "de_polymorph_ev_per_atom": 0.160, "sg": "I4/mmm"}


No. 21
{"formula": "Ag2MoIr", "functional": "PBE", "state": "relaxed", "cell": [[-0.1602, -1.0422, -7.3992], [-2.5068, -6.9646, 1.0352], [-3.7637, -3.1389, -3.2512]], "species": ["Ir", "Ir", "Mo", "Mo", "Ag", "Ag", "Ag", "Ag"], "fractional_positions": [[0.0000, 0.0000, 0.0000], [0.7500, 0.2500, 0.5000], [0.5000, 0.5000, 0.0000], [0.2500, 0.7500, 0.5000], [0.1187, 0.6250, 0.2500], [0.6313, 0.1250, 0.2500], [0.3750, 0.3687, 0.7500], [0.8750, 0.8813, 0.7500]], "de_polymorph_ev_per_atom": 0.963, "sg": "I-42d"}


No. 22
{"formula": "AgMo2Ir", "functional": "PBE", "state": "relaxed", "cell": [[2.7565, 0.0000, 0.0000], [0.0000, 4.1115, 0.0000], [0.0000, 0.0000, 5.5466]], "species": ["Mo", "Mo", "Ag", "Ir"], "fractional_positions": [[0.0000, 0.0000, 0.9828], [0.0000, 0.0000, 0.5172], [0.5000, 0.5000, 0.2500], [0.5000, 0.5000, 0.7500]], "de_polymorph_ev_per_atom": 0.013, "sg": "Pmmm"}


No. 23
{"formula": "Ag2MoIr", "functional": "PBE", "state": "relaxed", "cell": [[4.7719, 0.0001, 0.0059], [3.9579, 2.6657, 0.0059], [0.6811, 0.2080, 5.1613]], "species": ["Ag", "Ag", "Mo", "Ir"], "fractional_positions": [[0.2476, 0.2476, 0.2334], [0.9993, 0.9993, 0.0161], [0.7534, 0.7534, 0.7141], [0.4997, 0.4997, 0.5364]], "de_polymorph_ev_per_atom": 0.231, "sg": "Cm"}


No. 24
{"formula": "AgMo2Ir", "functional": "PBE", "state": "relaxed", "cell": [[5.6717, 0.1552, 0.0640], [2.8638, 4.8980, -0.0640], [-3.6139, -3.6311, 2.4396]], "species": ["Mo", "Mo", "Ir", "Ag"], "fractional_positions": [[0.0122, 0.0122, 0.0000], [0.7744, 0.2744, 0.5000], [0.2284, 0.7284, 0.5000], [0.4850, 0.4850, 0.0000]], "de_polymorph_ev_per_atom": 0.214, "sg": "Imm2"}


No. 25
{"formula": "Ag2MoIr", "functional": "PBE", "state": "relaxed", "cell": [[-1.3416, 1.7616, 1.6818], [-3.8107, -0.8369, -2.1633], [-1.0185, -3.9457, 3.3207]], "species": ["Mo", "Ir", "Ag", "Ag"], "fractional_positions": [[0.5000, 0.5000, 0.7500], [0.5000, 0.5000, 0.2500], [0.0000, 0.0000, 0.4999], [0.0000, 0.0000, 0.0001]], "de_polymorph_ev_per_atom": 0.369, "sg": "Pmmm"}


No. 26
{"formula": "NaAgMo2Ir", "functional": "PBE", "state": "relaxed", "cell": [[-2.3233, 3.9850, -1.2848], [-4.5288, -2.1167, 1.6240], [0.7138, 1.8248, 4.3691]], "species": ["Na", "Mo", "Mo", "Ir", "Ag"], "fractional_positions": [[0.0000, 0.5000, 0.0000], [0.5000, 0.0000, 0.0000], [0.0000, 0.0000, 0.5000], [0.0000, 0.0000, 0.0000], [0.5000, 0.5000, 0.5000]], "e_tot_ev_per_atom": -5.585, "sg": "P4/mmm"}


No. 27
{"formula": "Ni2AgMoIr", "functional": "PBE", "state": "relaxed", "cell": [[4.4996, 0.0000, 0.0000], [0.0000, 5.0055, 0.0000], [0.0000, 0.0000, 4.4996]], "species": ["Ir", "Ni", "Ni", "Mo", "Ag"], "fractional_positions": [[0.0000, 0.0000, 0.0000], [0.0000, 0.0000, 0.5000], [0.5000, 0.0000, 0.0000], [0.5000, 0.5000, 0.5000], [0.0000, 0.5000, 0.0000]], "e_tot_ev_per_atom": -5.184, "sg": "P4/mmm"}


No. 28
{"formula": "AgMoIrRu2", "functional": "PBE", "state": "relaxed", "cell": [[-1.9677, 0.0438, 4.1965], [-3.2935, -2.9856, -1.5131], [2.6540, -3.5773, 1.2818]], "species": ["Ru", "Ru", "Ir", "Mo", "Ag"], "fractional_positions": [[0.0000, 0.0000, 0.5000], [0.5000, 0.0000, 0.0000], [0.0000, 0.5000, 0.0000], [0.5000, 0.5000, 0.5000], [0.0000, 0.0000, 0.0000]], "e_tot_ev_per_atom": -5.585, "sg": "P4/mmm"}


No. 29
{"formula": "AgSnMoIr2", "functional": "PBE", "state": "relaxed", "cell": [[-2.6529, -3.6794, 1.7375], [3.5158, -1.0676, 3.1072], [-1.9904, 2.9825, 3.2768]], "species": ["Ag", "Ir", "Ir", "Sn", "Mo"], "fractional_positions": [[0.0000, 0.0000, 0.0000], [0.5000, 0.0000, 0.0000], [0.0000, 0.0000, 0.5000], [0.5000, 0.5000, 0.5000], [0.0000, 0.5000, 0.0000]], "e_tot_ev_per_atom": -5.088, "sg": "P4/mmm"}


What did we get for V? Answer: 17.24; 15.62; 16.20; 16.18; 17.78; 16.07; 15.65; 16.52; 15.88; 25.14; 16.47; 15.75; 16.05; 16.45; 16.59; 16.40; 16.07; 16.24; 16.40; 15.66; 18.02; 15.72; 16.41; 16.47; 16.30; 24.10; 20.27; 20.18; 22.71 A^3/atom, in the order shown.